[1]
First-principles (PBE) data for a relaxed structure of PrAlNi, as listed in Alexandria via LeMat-Bulk.

Cell and atoms, written as CIF:
```
data_PrAlNi
_cell_length_a 4.298
_cell_length_b 4.298
_cell_length_c 4.016
_cell_angle_alpha 90.00
_cell_angle_beta 90.00
_cell_angle_gamma 120.00
_symmetry_space_group_name_H-M 'P 1'
_symmetry_Int_Tables_number 1
_symmetry_space_group_name_Hall 'P 1'
loop_
_atom_site_label
_atom_site_type_symbol
_atom_site_fract_x
_atom_site_fract_y
_atom_site_fract_z
Pr1 Pr 0.000 0.000 0.000
Al1 Al 0.667 0.333 0.500
Ni1 Ni 0.333 0.667 0.500
```

Calculated values
**Size of the total moment**: 0.00 μB per formula unit
**DOS(E_F)**: 2.26 states/eV/cell
**VASP energy**: -15.48 eV per cell
**V**: 64.2 Å³ per cell
**Crystal system**: hexagonal

[2]
First-principles (PBE) data for a relaxed structure of Pr5AlNi2, as listed in Alexandria via LeMat-Bulk.

Cell and atoms, written as CIF:
```
data_Pr5AlNi2
_cell_length_a 8.783
_cell_length_b 8.783
_cell_length_c 8.783
_cell_angle_alpha 125.96
_cell_angle_beta 125.96
_cell_angle_gamma 79.96
_symmetry_space_group_name_H-M 'P 1'
_symmetry_Int_Tables_number 1
_symmetry_space_group_name_Hall 'P 1'
loop_
_atom_site_label
_atom_site_type_symbol
_atom_site_fract_x
_atom_site_fract_y
_atom_site_fract_z
Pr1 Pr 0.000 0.000 0.000
Pr2 Pr 0.021 0.521 0.823
Pr3 Pr 0.199 0.021 0.500
Pr4 Pr 0.301 0.801 0.823
Pr5 Pr 0.479 0.301 0.500
Pr6 Pr 0.500 0.500 0.000
Pr7 Pr 0.521 0.699 0.500
Pr8 Pr 0.699 0.199 0.177
Pr9 Pr 0.801 0.979 0.500
Pr10 Pr 0.979 0.479 0.177
Al1 Al 0.250 0.250 0.000
Al2 Al 0.750 0.750 0.000
Ni1 Ni 0.120 0.380 0.500
Ni2 Ni 0.380 0.880 0.260
Ni3 Ni 0.620 0.120 0.740
Ni4 Ni 0.880 0.620 0.500
```

Calculated values
**Size of the total moment**: 0.00 μB per formula unit
**DOS(E_F)**: 15.66 states/eV/cell
**VASP energy**: -81.87 eV per cell
**V**: 428.6 Å³ per cell
**Crystal system**: tetragonal

[3]
First-principles (PBE) data for a relaxed structure of Pr2Al2Ni15, as listed in Alexandria via LeMat-Bulk.

Cell and atoms, written as CIF:
```
data_Pr2Al2Ni15
_cell_length_a 6.371
_cell_length_b 6.371
_cell_length_c 6.371
_cell_angle_alpha 82.29
_cell_angle_beta 82.29
_cell_angle_gamma 82.29
_symmetry_space_group_name_H-M 'P 1'
_symmetry_Int_Tables_number 1
_symmetry_space_group_name_Hall 'P 1'
loop_
_atom_site_label
_atom_site_type_symbol
_atom_site_fract_x
_atom_site_fract_y
_atom_site_fract_z
Pr1 Pr 0.150 0.150 0.150
Pr2 Pr 0.850 0.850 0.850
Al1 Al 0.398 0.398 0.398
Al2 Al 0.602 0.602 0.602
Ni1 Ni 0.000 0.500 0.500
Ni2 Ni 0.158 0.158 0.649
Ni3 Ni 0.158 0.649 0.158
Ni4 Ni 0.210 0.500 0.790
Ni5 Ni 0.210 0.790 0.500
Ni6 Ni 0.351 0.842 0.842
Ni7 Ni 0.500 0.000 0.500
Ni8 Ni 0.500 0.210 0.790
Ni9 Ni 0.500 0.500 0.000
Ni10 Ni 0.500 0.790 0.210
Ni11 Ni 0.649 0.158 0.158
Ni12 Ni 0.790 0.210 0.500
Ni13 Ni 0.790 0.500 0.210
Ni14 Ni 0.842 0.351 0.842
Ni15 Ni 0.842 0.842 0.351
```

Calculated values
**Size of the total moment**: 2.16 μB per formula unit
**DOS(E_F)**: 25.61 states/eV/cell
**VASP energy**: -108.98 eV per cell
**V**: 252.1 Å³ per cell
**Crystal system**: trigonal

[4]
First-principles (PBE) data for a relaxed structure of PrAlNi2, as listed in Alexandria via LeMat-Bulk.

Cell and atoms, written as CIF:
```
data_PrAlNi2
_cell_length_a 5.391
_cell_length_b 5.391
_cell_length_c 5.391
_cell_angle_alpha 45.67
_cell_angle_beta 45.67
_cell_angle_gamma 45.67
_symmetry_space_group_name_H-M 'P 1'
_symmetry_Int_Tables_number 1
_symmetry_space_group_name_Hall 'P 1'
loop_
_atom_site_label
_atom_site_type_symbol
_atom_site_fract_x
_atom_site_fract_y
_atom_site_fract_z
Pr1 Pr 0.000 0.000 0.000
Al1 Al 0.500 0.500 0.500
Ni1 Ni 0.198 0.198 0.198
Ni2 Ni 0.802 0.802 0.802
```

Calculated values
**Size of the total moment**: 0.00 μB per formula unit
**DOS(E_F)**: 2.09 states/eV/cell
**VASP energy**: -22.11 eV per cell
**V**: 73.1 Å³ per cell
**Crystal system**: trigonal

[5]
First-principles (PBE) data for a relaxed structure of PrAl3Ni3, as listed in Alexandria via LeMat-Bulk.

Cell and atoms, written as CIF:
```
data_PrAl3Ni3
_cell_length_a 7.568
_cell_length_b 7.568
_cell_length_c 7.568
_cell_angle_alpha 50.00
_cell_angle_beta 50.00
_cell_angle_gamma 50.00
_symmetry_space_group_name_H-M 'P 1'
_symmetry_Int_Tables_number 1
_symmetry_space_group_name_Hall 'P 1'
loop_
_atom_site_label
_atom_site_type_symbol
_atom_site_fract_x
_atom_site_fract_y
_atom_site_fract_z
Pr1 Pr 0.157 0.157 0.157
Pr2 Pr 0.843 0.843 0.843
Al1 Al 0.064 0.235 0.582
Al2 Al 0.235 0.582 0.064
Al3 Al 0.418 0.936 0.765
Al4 Al 0.582 0.064 0.235
Al5 Al 0.765 0.418 0.936
Al6 Al 0.936 0.765 0.418
Ni1 Ni 0.202 0.402 0.650
Ni2 Ni 0.350 0.798 0.598
Ni3 Ni 0.402 0.650 0.202
Ni4 Ni 0.598 0.350 0.798
Ni5 Ni 0.650 0.202 0.402
Ni6 Ni 0.798 0.598 0.350
```

Calculated values
**Size of the total moment**: 0.00 μB per formula unit
**DOS(E_F)**: 4.60 states/eV/cell
**VASP energy**: -71.48 eV per cell
**V**: 234.2 Å³ per cell
**Crystal system**: trigonal
**Energy above the lowest structure with this stoichiometry**: 0.0 meV/atom

[6]
First-principles (PBE) data for a relaxed structure of Pr2AlNi, as listed in Alexandria via LeMat-Bulk.

Cell and atoms, written as CIF:
```
data_Pr2AlNi
_cell_length_a 5.191
_cell_length_b 5.191
_cell_length_c 5.191
_cell_angle_alpha 60.00
_cell_angle_beta 60.00
_cell_angle_gamma 60.00
_symmetry_space_group_name_H-M 'P 1'
_symmetry_Int_Tables_number 1
_symmetry_space_group_name_Hall 'P 1'
loop_
_atom_site_label
_atom_site_type_symbol
_atom_site_fract_x
_atom_site_fract_y
_atom_site_fract_z
Pr1 Pr 0.250 0.250 0.250
Pr2 Pr 0.750 0.750 0.750
Al1 Al 0.000 0.000 0.000
Ni1 Ni 0.500 0.500 0.500
```

Calculated values
**Size of the total moment**: 0.00 μB per formula unit
**DOS(E_F)**: 4.16 states/eV/cell
**VASP energy**: -19.74 eV per cell
**V**: 98.9 Å³ per cell
**Crystal system**: cubic
**Energy above the lowest structure with this stoichiometry**: 83.9 meV/atom

[7]
First-principles (PBE) data for a relaxed structure of PrAl2Ni9, as listed in Alexandria via LeMat-Bulk.

Cell and atoms, written as CIF:
```
data_PrAl2Ni9
_cell_length_a 8.203
_cell_length_b 8.203
_cell_length_c 8.203
_cell_angle_alpha 34.48
_cell_angle_beta 34.48
_cell_angle_gamma 34.48
_symmetry_space_group_name_H-M 'P 1'
_symmetry_Int_Tables_number 1
_symmetry_space_group_name_Hall 'P 1'
loop_
_atom_site_label
_atom_site_type_symbol
_atom_site_fract_x
_atom_site_fract_y
_atom_site_fract_z
Pr1 Pr 0.000 0.000 0.000
Al1 Al 0.145 0.145 0.145
Al2 Al 0.855 0.855 0.855
Ni1 Ni 0.082 0.592 0.592
Ni2 Ni 0.334 0.334 0.334
Ni3 Ni 0.408 0.408 0.918
Ni4 Ni 0.408 0.918 0.408
Ni5 Ni 0.500 0.500 0.500
Ni6 Ni 0.592 0.082 0.592
Ni7 Ni 0.592 0.592 0.082
Ni8 Ni 0.666 0.666 0.666
Ni9 Ni 0.918 0.408 0.408
```

Calculated values
**Size of the total moment**: 0.01 μB per formula unit
**DOS(E_F)**: 16.72 states/eV/cell
**VASP energy**: -67.57 eV per cell
**V**: 157.8 Å³ per cell
**Crystal system**: trigonal

[8]
First-principles (PBE) data for a relaxed structure of Pr4AlNi3, as listed in Alexandria via LeMat-Bulk.

Cell and atoms, written as CIF:
```
data_Pr4AlNi3
_cell_length_a 3.957
_cell_length_b 4.400
_cell_length_c 10.967
_cell_angle_alpha 90.00
_cell_angle_beta 90.00
_cell_angle_gamma 90.00
_symmetry_space_group_name_H-M 'P 1'
_symmetry_Int_Tables_number 1
_symmetry_space_group_name_Hall 'P 1'
loop_
_atom_site_label
_atom_site_type_symbol
_atom_site_fract_x
_atom_site_fract_y
_atom_site_fract_z
Pr1 Pr 0.000 0.000 0.000
Pr2 Pr 0.000 0.500 0.262
Pr3 Pr 0.500 0.000 0.473
Pr4 Pr 0.500 0.500 0.776
Al1 Al 0.000 0.000 0.688
Ni1 Ni 0.000 0.500 0.562
Ni2 Ni 0.500 0.000 0.197
Ni3 Ni 0.500 0.500 0.069
```

Calculated values
**Size of the total moment**: 0.00 μB per formula unit
**DOS(E_F)**: 7.27 states/eV/cell
**VASP energy**: -42.46 eV per cell
**V**: 191.0 Å³ per cell
**Crystal system**: orthorhombic

[9]
First-principles (PBE) data for a relaxed structure of PrAl4Ni, as listed in Alexandria via LeMat-Bulk.

Cell and atoms, written as CIF:
```
data_PrAl4Ni
_cell_length_a 8.187
_cell_length_b 8.187
_cell_length_c 6.680
_cell_angle_alpha 90.00
_cell_angle_beta 90.00
_cell_angle_gamma 150.76
_symmetry_space_group_name_H-M 'P 1'
_symmetry_Int_Tables_number 1
_symmetry_space_group_name_Hall 'P 1'
loop_
_atom_site_label
_atom_site_type_symbol
_atom_site_fract_x
_atom_site_fract_y
_atom_site_fract_z
Pr1 Pr 0.114 0.886 0.750
Pr2 Pr 0.886 0.114 0.250
Al1 Al 0.079 0.921 0.250
Al2 Al 0.309 0.691 0.554
Al3 Al 0.309 0.691 0.946
Al4 Al 0.500 0.500 0.000
Al5 Al 0.500 0.500 0.500
Al6 Al 0.691 0.309 0.054
Al7 Al 0.691 0.309 0.446
Al8 Al 0.921 0.079 0.750
Ni1 Ni 0.226 0.774 0.250
Ni2 Ni 0.774 0.226 0.750
```

Calculated values
**Size of the total moment**: 0.00 μB per formula unit
**DOS(E_F)**: 3.83 states/eV/cell
**VASP energy**: -57.57 eV per cell
**V**: 218.7 Å³ per cell
**Crystal system**: orthorhombic

[10]
First-principles (PBE) data for a relaxed structure of PrAl5Ni2, as listed in Alexandria via LeMat-Bulk.

Cell and atoms, written as CIF:
```
data_PrAl5Ni2
_cell_length_a 6.305
_cell_length_b 6.305
_cell_length_c 4.003
_cell_angle_alpha 108.28
_cell_angle_beta 108.28
_cell_angle_gamma 67.67
_symmetry_space_group_name_H-M 'P 1'
_symmetry_Int_Tables_number 1
_symmetry_space_group_name_Hall 'P 1'
loop_
_atom_site_label
_atom_site_type_symbol
_atom_site_fract_x
_atom_site_fract_y
_atom_site_fract_z
Pr1 Pr 0.000 0.000 0.000
Al1 Al 0.151 0.532 0.341
Al2 Al 0.468 0.849 0.659
Al3 Al 0.500 0.500 0.000
Al4 Al 0.532 0.151 0.341
Al5 Al 0.849 0.468 0.659
Ni1 Ni 0.264 0.264 0.764
Ni2 Ni 0.736 0.736 0.236
```

Calculated values
**Size of the total moment**: 0.00 μB per formula unit
**DOS(E_F)**: 3.15 states/eV/cell
**VASP energy**: -39.76 eV per cell
**V**: 136.3 Å³ per cell
**Crystal system**: monoclinic